A geometry-optimized Na2CuTcF structure, computed with GGA-PBE.

Cell lengths 4.090, 4.090, 5.377 Å; angles 90.00, 90.00, 90.00 degrees
Fractional positions:
Na 0.000 0.500 0.000
Na 0.500 0.000 0.000
Cu 0.000 0.000 0.500
Tc 0.500 0.500 0.500
F 0.500 0.500 0.000

E ... -3.840 eV per atom
Space-group type ... P4/mmm (123)

---

A geometry-optimized In3Ni structure, computed with GGA-PBE.

Cell lengths 9.007, 9.007, 9.007 Å; angles 21.68, 21.68, 21.68 degrees
Fractional positions:
In 0.000 0.000 0.000
In 0.234 0.234 0.234
In 0.766 0.766 0.766
Ni 0.500 0.500 0.500

E ... -3.449 eV per atom
Space-group type ... R-3m (166)
Energy of formation ... 0.05 eV per atom

---

A geometry-optimized BaB6PbC6 structure, computed with GGA-PBE.

Cell lengths 4.992, 4.992, 4.992 Å; angles 90.00, 90.00, 90.00 degrees
Fractional positions:
Ba 0.000 0.000 0.000
B 0.000 0.255 0.500
B 0.000 0.745 0.500
B 0.255 0.500 0.000
B 0.500 0.000 0.255
B 0.500 0.000 0.745
B 0.745 0.500 0.000
Pb 0.500 0.500 0.500
C 0.000 0.500 0.253
C 0.000 0.500 0.747
C 0.253 0.000 0.500
C 0.500 0.253 0.000
C 0.500 0.747 0.000
C 0.747 0.000 0.500

E ... -6.669 eV per atom
Space-group type ... Pm-3 (200)
Energy of formation ... 0.55 eV per atom

---

These records have total magnetic moment values of 3.169; 0.000; 0.000 μB per cell, in the order they appear.